First-principles (PBE-GGA) data for a geometry-optimized ZrTeSeN2 structure, as listed in Alexandria via LeMat-Bulk.

Results
- energy relative to the lowest polymorph listed for this composition (kcal/mol of atoms) = 19.83
- symmetry = P4/mmm
- uncorrected formation energy (eV/atom) = 1.290
- N(E_F) (states/eV/atom) = 0.5316
- magnetic moment (μB/atom) = 0.0000

POSCAR file:
```
ZrTeSeN2
1.0
-1.374 -2.880 2.525
1.716 -2.861 -2.330
4.413 0.358 2.809
Te Se Zr N
1 1 1 2
direct
0.000 0.000 0.500 Te
0.000 0.000 0.000 Se
0.500 0.500 0.500 Zr
0.000 0.500 0.000 N
0.500 0.000 0.000 N
```